Density functional theory data (GGA-PBE) for a geometry-optimized Hf2CdB2 structure.

abc: 3.1594 13.2533 3.4447
angles: 90.00 90.00 90.00
Last column: nearest neighbours and their distance in Å.
Space group Cmmm (No. 65)
Unique sites:
Hf (0.0000, 0.1488, 0.0000) (multiplicity 4)  6 B 2.45-2.52
Cd (0.0000, 0.5000, 0.5000) (multiplicity 2)  2 B 2.91, 8 Hf 3.06, 2 Cd 3.16
B (0.0000, 0.2803, 0.5000) (multiplicity 4)  2 B 1.77

Properties
Final energy: -0.547 Ry/atom
M_tot: 0.0 μB per formula unit

Density functional theory data (GGA-PBE) for a geometry-optimized Hf4CdB3 structure.

abc: 3.3997 3.3997 26.6254
angles: 90.00 90.00 120.00
Last column: nearest neighbours and their distance in Å.
Space group P6_3/mmc (No. 194)
Unique sites:
Hf (0.0000, 0.0000, 0.1536) (multiplicity 4)  3 B 2.31
Hf (0.3333, 0.6667, 0.0536) (multiplicity 4)  6 B 2.43-2.44
Cd (0.3333, 0.6667, 0.2500) (multiplicity 2)  6 Hf 3.23, 6 Cd 3.40
B (0.0000, 0.0000, 0.0000) (multiplicity 2)  6 Hf 2.43
B (0.3333, 0.6667, 0.6078) (multiplicity 4)  6 Hf 2.31-2.44

Properties
Final energy: -0.585 Ry/atom
M_tot: 0.4 μB per formula unit

Density functional theory data (GGA-PBE) for a geometry-optimized Hf3CdB2 structure.

abc: 3.3749 3.3749 21.1447
angles: 90.00 90.00 120.00
Last column: nearest neighbours and their distance in Å.
Space group P6_3/mmc (No. 194)
Unique sites:
Hf (0.0000, 0.0000, 0.0000) (multiplicity 2)  6 B 2.43
Hf (0.3333, 0.6667, 0.1289) (multiplicity 4)  3 B 2.33
Cd (0.0000, 0.0000, 0.2500) (multiplicity 2)  6 Hf 3.22, 6 Cd 3.37
B (0.3333, 0.6667, 0.5686) (multiplicity 4)  6 Hf 2.33-2.43

Properties
Final energy: -0.566 Ry/atom
M_tot: 0.0 μB per formula unit

Density functional theory data (GGA-PBE) for a geometry-optimized HfCdB2 structure.

abc: 6.1749 6.1749 6.1749
angles: 90.00 90.00 90.00
Last column: nearest neighbours and their distance in Å.
Space group F-43m (No. 216)
Unique sites:
Hf (0.0000, 0.0000, 0.0000) (multiplicity 4)  4 Cd 2.67, 4 B 2.67
Cd (0.2500, 0.2500, 0.7500) (multiplicity 4)  4 Hf 2.67, 4 B 2.67
B (0.0000, 0.0000, 0.5000) (multiplicity 4)  4 B 2.67, 4 Cd 2.67
B (0.2500, 0.2500, 0.2500) (multiplicity 4)  4 Hf 2.67, 4 B 2.67

Properties
Final energy: -0.340 Ry/atom
M_tot: 0.0 μB per formula unit

Density functional theory data (GGA-PBE) for a geometry-optimized Hf4CdB2Pb structure.

abc: 3.4236 3.4236 15.1820
angles: 90.00 90.00 120.00
Last column: nearest neighbours and their distance in Å.
Space group P-6m2 (No. 187)
Unique sites:
Hf (0.0000, 0.0000, 0.1666) (multiplicity 2)  3 B 2.34
Hf (0.3333, 0.6667, 0.3334) (multiplicity 2)  3 B 2.36
Cd (0.0000, 0.0000, 0.5000) (multiplicity 1)  6 Hf 3.21, 6 Cd 3.42
B (0.6667, 0.3333, 0.2487) (multiplicity 2)  6 Hf 2.34-2.36
Pb (0.3333, 0.6667, 0.0000) (multiplicity 1)  6 Hf 3.21, 6 Pb 3.42

Properties
Final energy: -0.559 Ry/atom
M_tot: 0.0 μB per formula unit

Density functional theory data (GGA-PBE) for a geometry-optimized Hf4CdSnB2 structure.

abc: 3.4092 3.4092 15.0527
angles: 90.00 90.00 120.00
Last column: nearest neighbours and their distance in Å.
Space group P-6m2 (No. 187)
Unique sites:
Hf (0.0000, 0.0000, 0.1621) (multiplicity 2)  3 B 2.34
Hf (0.3333, 0.6667, 0.3317) (multiplicity 2)  3 B 2.35
Cd (0.0000, 0.0000, 0.5000) (multiplicity 1)  6 Hf 3.21, 6 Cd 3.41
Sn (0.3333, 0.6667, 0.0000) (multiplicity 1)  6 Hf 3.13, 6 Sn 3.41
B (0.6667, 0.3333, 0.2464) (multiplicity 2)  6 Hf 2.34-2.35

Properties
Final energy: -0.566 Ry/atom
M_tot: 0.1 μB per formula unit

Density functional theory data (GGA-PBE) for a geometry-optimized Hf4TlCdB2 structure.

abc: 3.4031 3.4031 15.3209
angles: 90.00 90.00 120.00
Last column: nearest neighbours and their distance in Å.
Space group P-6m2 (No. 187)
Unique sites:
Hf (0.0000, 0.0000, 0.1663) (multiplicity 2)  3 B 2.34
Hf (0.3333, 0.6667, 0.3331) (multiplicity 2)  3 B 2.35
Tl (0.3333, 0.6667, 0.0000) (multiplicity 1)  6 Hf 3.22, 6 Tl 3.40
Cd (0.0000, 0.0000, 0.5000) (multiplicity 1)  6 Hf 3.22, 6 Cd 3.40
B (0.6667, 0.3333, 0.2488) (multiplicity 2)  6 Hf 2.34-2.35

Properties
Final energy: -0.543 Ry/atom
M_tot: 0.0 μB per formula unit

Density functional theory data (GGA-PBE) for a geometry-optimized CdHg2B structure.

abc: 6.8808 6.8808 6.8808
angles: 90.00 90.00 90.00
Last column: nearest neighbours and their distance in Å.
Space group F-43m (No. 216)
Unique sites:
Cd (0.0000, 0.0000, 0.0000) (multiplicity 4)  4 Hg 2.98, 4 B 2.98
Hg (0.0000, 0.0000, 0.5000) (multiplicity 4)  4 Hg 2.98, 4 B 2.98
Hg (0.2500, 0.2500, 0.2500) (multiplicity 4)  4 Hg 2.98, 4 Cd 2.98
B (0.2500, 0.2500, 0.7500) (multiplicity 4)  4 Hg 2.98, 4 Cd 2.98

Properties
Final energy: -0.077 Ry/atom

Density functional theory data (GGA-PBE) for a geometry-optimized CdHgB structure.

abc: 5.9783 5.9783 5.9783
angles: 90.00 90.00 90.00
Last column: nearest neighbours and their distance in Å.
Space group F-43m (No. 216)
Unique sites:
Cd (0.0000, 0.0000, 0.0000) (multiplicity 4)  4 B 2.59
Hg (0.0000, 0.0000, 0.5000) (multiplicity 4)  4 B 2.59
B (0.2500, 0.2500, 0.2500) (multiplicity 4)  4 Hg 2.59, 4 Cd 2.59

Properties
Final energy: -0.132 Ry/atom

Density functional theory data (GGA-PBE) for a geometry-optimized CdHgB4 structure.

abc: 3.0273 3.0273 9.8581
angles: 90.00 90.00 120.00
Last column: nearest neighbours and their distance in Å.
Space group P6/mmm (No. 191)
Unique sites:
Cd (0.0000, 0.0000, 0.0000) (multiplicity 1)  12 B 2.70
Hg (0.0000, 0.0000, 0.5000) (multiplicity 1)  6 Hg 3.03, 12 B 3.36
B (0.3333, 0.6667, 0.2091) (multiplicity 4)  3 B 1.75

Properties
Final energy: -0.297 Ry/atom

Density functional theory data (GGA-PBE) for a geometry-optimized CdHgB4 structure.

abc: 3.0703 5.2430 9.0553
angles: 90.00 90.00 90.00
Last column: nearest neighbours and their distance in Å.
Space group Immm (No. 71)
Unique sites:
Cd (0.0000, 0.0000, 0.0000) (multiplicity 2)  12 B 2.84-2.89, 4 Hg 3.04, 2 Cd 3.07
Hg (0.0000, 0.0000, 0.5000) (multiplicity 2)  12 B 2.82-2.91, 4 Cd 3.04, 2 Hg 3.07
B (0.0000, 0.3308, 0.2551) (multiplicity 8)  3 B 1.76-1.77

Properties
Final energy: -0.295 Ry/atom

Density functional theory data (GGA-PBE) for a geometry-optimized Cd2HgB structure.

abc: 6.8363 6.8363 6.8363
angles: 90.00 90.00 90.00
Last column: nearest neighbours and their distance in Å.
Space group F-43m (No. 216)
Unique sites:
Cd (0.0000, 0.0000, 0.0000) (multiplicity 4)  4 Cd 2.96, 4 Hg 2.96
Cd (0.2500, 0.2500, 0.2500) (multiplicity 4)  4 B 2.96, 4 Cd 2.96
Hg (0.2500, 0.2500, 0.7500) (multiplicity 4)  4 Cd 2.96, 4 B 2.96
B (0.0000, 0.0000, 0.5000) (multiplicity 4)  4 Hg 2.96, 4 Cd 2.96

Properties
Final energy: -0.091 Ry/atom

Density functional theory data (GGA-PBE) for a geometry-optimized CdHgB2 structure.

abc: 6.3690 6.3690 6.3690
angles: 90.00 90.00 90.00
Last column: nearest neighbours and their distance in Å.
Space group F-43m (No. 216)
Unique sites:
Cd (0.0000, 0.0000, 0.0000) (multiplicity 4)  4 Hg 2.76, 4 B 2.76
Hg (0.2500, 0.2500, 0.2500) (multiplicity 4)  4 B 2.76, 4 Cd 2.76
B (0.0000, 0.0000, 0.5000) (multiplicity 4)  4 Hg 2.76, 4 B 2.76
B (0.2500, 0.2500, 0.7500) (multiplicity 4)  4 Cd 2.76, 4 B 2.76

Properties
Final energy: -0.137 Ry/atom

Density functional theory data (GGA-PBE) for a geometry-optimized Sc4CdHgB2 structure.

abc: 3.4757 3.4757 15.2164
angles: 90.00 90.00 120.00
Last column: nearest neighbours and their distance in Å.
Space group P-6m2 (No. 187)
Unique sites:
Sc (0.0000, 0.0000, 0.1595) (multiplicity 2)  3 B 2.40
Sc (0.3333, 0.6667, 0.3307) (multiplicity 2)  3 B 2.39
Cd (0.0000, 0.0000, 0.5000) (multiplicity 1)  6 Sc 3.27, 6 Cd 3.48
Hg (0.3333, 0.6667, 0.0000) (multiplicity 1)  6 Sc 3.15, 6 Hg 3.48
B (0.6667, 0.3333, 0.2455) (multiplicity 2)  6 Sc 2.39-2.40

Properties
Final energy: -0.377 Ry/atom
M_tot: 2.1 μB per formula unit

Density functional theory data (GGA-PBE) for a geometry-optimized Tm4CdHgB2 structure.

abc: 3.8742 3.8742 14.4859
angles: 90.00 90.00 120.00
Last column: nearest neighbours and their distance in Å.
Space group P-6m2 (No. 187)
Unique sites:
Tm (0.0000, 0.0000, 0.1583) (multiplicity 2)  3 B 2.57
Tm (0.3333, 0.6667, 0.3310) (multiplicity 2)  3 B 2.56
Cd (0.0000, 0.0000, 0.5000) (multiplicity 1)  6 Tm 3.32
Hg (0.3333, 0.6667, 0.0000) (multiplicity 1)  6 Tm 3.20
B (0.6667, 0.3333, 0.2457) (multiplicity 2)  6 Tm 2.56-2.57

Properties
Final energy: -0.307 Ry/atom
M_tot: 0.0 μB per formula unit

Density functional theory data (GGA-PBE) for a geometry-optimized HoCdB structure.

abc: 6.4622 6.4622 6.4622
angles: 90.00 90.00 90.00
Last column: nearest neighbours and their distance in Å.
Space group F-43m (No. 216)
Unique sites:
Ho (0.0000, 0.0000, 0.0000) (multiplicity 4)  4 Cd 2.80, 4 B 2.80
Cd (0.2500, 0.2500, 0.2500) (multiplicity 4)  4 Ho 2.80
B (0.2500, 0.2500, 0.7500) (multiplicity 4)  4 Ho 2.80

Properties
Final energy: -0.233 Ry/atom
M_tot: 0.0 μB per formula unit

Density functional theory data (GGA-PBE) for a geometry-optimized HoCdB structure.

abc: 6.0943 6.0943 6.0943
angles: 90.00 90.00 90.00
Last column: nearest neighbours and their distance in Å.
Space group F-43m (No. 216)
Unique sites:
Ho (0.0000, 0.0000, 0.0000) (multiplicity 4)  4 B 2.64
Cd (0.0000, 0.0000, 0.5000) (multiplicity 4)  4 B 2.64
B (0.2500, 0.2500, 0.2500) (multiplicity 4)  4 Cd 2.64, 4 Ho 2.64

Properties
Final energy: -0.303 Ry/atom
M_tot: 0.0 μB per formula unit

Density functional theory data (GGA-PBE) for a geometry-optimized HoCdB4 structure.

abc: 3.2172 3.2172 7.6570
angles: 90.00 90.00 120.00
Last column: nearest neighbours and their distance in Å.
Space group P6/mmm (No. 191)
Unique sites:
Ho (0.0000, 0.0000, 0.0000) (multiplicity 1)  12 B 2.64
Cd (0.0000, 0.0000, 0.5000) (multiplicity 1)  12 B 2.69
B (0.3333, 0.6667, 0.2455) (multiplicity 4)  3 B 1.86

Properties
Final energy: -0.394 Ry/atom
M_tot: 0.0 μB per formula unit

Density functional theory data (GGA-PBE) for a geometry-optimized HoCdB structure.

abc: 6.2735 6.2735 6.2735
angles: 90.00 90.00 90.00
Last column: nearest neighbours and their distance in Å.
Space group F-43m (No. 216)
Unique sites:
Ho (0.0000, 0.0000, 0.0000) (multiplicity 4)  4 Cd 2.72
Cd (0.2500, 0.2500, 0.7500) (multiplicity 4)  4 B 2.72, 4 Ho 2.72
B (0.0000, 0.0000, 0.5000) (multiplicity 4)  4 Cd 2.72

Properties
Final energy: -0.248 Ry/atom
M_tot: 0.0 μB per formula unit

Density functional theory data (GGA-PBE) for a geometry-optimized HoCdB4 structure.

abc: 3.1912 5.3964 8.0356
angles: 90.00 90.00 90.00
Last column: nearest neighbours and their distance in Å.
Space group Immm (No. 71)
Unique sites:
Ho (0.0000, 0.0000, 0.0000) (multiplicity 2)  12 B 2.67-2.73
Cd (0.0000, 0.0000, 0.5000) (multiplicity 2)  12 B 2.60-2.80
B (0.0000, 0.3241, 0.2605) (multiplicity 8)  3 B 1.79-1.90

Properties
Final energy: -0.401 Ry/atom
M_tot: 0.0 μB per formula unit

Density functional theory data (GGA-PBE) for a geometry-optimized CdInB4 structure.

abc: 3.1309 3.1309 8.1900
angles: 90.00 90.00 120.00
Last column: nearest neighbours and their distance in Å.
Space group P6/mmm (No. 191)
Unique sites:
Cd (0.0000, 0.0000, 0.0000) (multiplicity 1)  12 B 2.74
In (0.0000, 0.0000, 0.5000) (multiplicity 1)  12 B 2.72
B (0.3333, 0.6667, 0.2522) (multiplicity 4)  3 B 1.81

Properties
Final energy: -0.332 Ry/atom

Density functional theory data (GGA-PBE) for a geometry-optimized CdInB4 structure.

abc: 3.1437 5.4415 8.0797
angles: 90.00 90.00 90.00
Last column: nearest neighbours and their distance in Å.
Space group Immm (No. 71)
Unique sites:
Cd (0.0000, 0.0000, 0.0000) (multiplicity 2)  12 B 2.71-2.72
In (0.0000, 0.0000, 0.5000) (multiplicity 2)  12 B 2.71-2.72
B (0.0000, 0.3333, 0.2507) (multiplicity 8)  3 B 1.81

Properties
Final energy: -0.332 Ry/atom

Density functional theory data (GGA-PBE) for a geometry-optimized CdIn2B structure.

abc: 7.0008 7.0008 7.0008
angles: 90.00 90.00 90.00
Last column: nearest neighbours and their distance in Å.
Space group F-43m (No. 216)
Unique sites:
Cd (0.0000, 0.0000, 0.0000) (multiplicity 4)  4 In 3.03, 4 B 3.03
In (0.0000, 0.0000, 0.5000) (multiplicity 4)  4 In 3.03, 4 B 3.03
In (0.2500, 0.2500, 0.2500) (multiplicity 4)  4 Cd 3.03, 4 In 3.03
B (0.2500, 0.2500, 0.7500) (multiplicity 4)  4 Cd 3.03, 4 In 3.03

Properties
Final energy: -0.172 Ry/atom

Density functional theory data (GGA-PBE) for a geometry-optimized CdBIr2 structure.

abc: 6.1418 6.1418 6.1418
angles: 90.00 90.00 90.00
Last column: nearest neighbours and their distance in Å.
Space group F-43m (No. 216)
Unique sites:
Cd (0.0000, 0.0000, 0.0000) (multiplicity 4)  4 Ir 2.66, 4 B 2.66
B (0.2500, 0.2500, 0.7500) (multiplicity 4)  4 Cd 2.66, 4 Ir 2.66
Ir (0.0000, 0.0000, 0.5000) (multiplicity 4)  4 B 2.66, 4 Ir 2.66
Ir (0.2500, 0.2500, 0.2500) (multiplicity 4)  4 Ir 2.66, 4 Cd 2.66

Properties
Final energy: -0.391 Ry/atom
M_tot: 0.0 μB per formula unit

Density functional theory data (GGA-PBE) for a geometry-optimized Cd2BIr structure.

abc: 6.3146 6.3146 6.3146
angles: 90.00 90.00 90.00
Last column: nearest neighbours and their distance in Å.
Space group F-43m (No. 216)
Unique sites:
Cd (0.0000, 0.0000, 0.0000) (multiplicity 4)  4 Cd 2.73, 4 Ir 2.73
Cd (0.2500, 0.2500, 0.2500) (multiplicity 4)  4 Cd 2.73, 4 B 2.73
B (0.0000, 0.0000, 0.5000) (multiplicity 4)  4 Cd 2.73, 4 Ir 2.73
Ir (0.2500, 0.2500, 0.7500) (multiplicity 4)  4 Cd 2.73, 4 B 2.73

Properties
Final energy: -0.252 Ry/atom
M_tot: 0.0 μB per formula unit

Density functional theory data (GGA-PBE) for a geometry-optimized CdBIr structure.

abc: 5.8306 5.8306 5.8306
angles: 90.00 90.00 90.00
Last column: nearest neighbours and their distance in Å.
Space group F-43m (No. 216)
Unique sites:
Cd (0.0000, 0.0000, 0.0000) (multiplicity 4)  4 Ir 2.52
B (0.0000, 0.0000, 0.5000) (multiplicity 4)  4 Ir 2.52
Ir (0.2500, 0.2500, 0.7500) (multiplicity 4)  4 Cd 2.52, 4 B 2.52

Properties
Final energy: -0.329 Ry/atom
M_tot: 0.0 μB per formula unit

Density functional theory data (GGA-PBE) for a geometry-optimized CdBIr3 structure.

abc: 18.3177 2.8445 5.4821
angles: 90.00 93.69 90.00
Last column: nearest neighbours and their distance in Å.
Space group C2/m (No. 12)
Unique sites:
Cd (0.0700, 0.0000, 0.3602) (multiplicity 4)  3 Cd 2.84-3.07, 10 Ir 2.94-3.18, 2 B 2.95-3.17
B (0.1443, 0.0000, 0.8544) (multiplicity 4)  6 Ir 2.14-2.21
Ir (0.0576, 0.5000, 0.8743) (multiplicity 4)  2 B 2.14
Ir (0.1935, 0.5000, 0.6114) (multiplicity 4)  2 B 2.18
Ir (0.1963, 0.5000, 0.1212) (multiplicity 4)  2 B 2.21

Properties
Final energy: -0.504 Ry/atom
M_tot: 0.0 μB per formula unit